Density functional theory data (PBEsol) for a geometry-optimized MnNiBr2 structure.

distance to the lowest polymorph of the same formula	0.5191	eV per atom
raw formation energy	0.40	eV per atom
spin magnetization	5.0	μB/cell

a = 4.5553 Å, b = 4.5553 Å, c = 3.3069 Å
α = 90.00°, β = 90.00°, γ = 90.00°
With the nearest neighbours (Å) after each atom.
Space group P4/mmm (No. 123)
Inequivalent atoms, fractional coordinates:
Mn1 0.0000 0.0000 0.0000 x1  8 Br 2.81
Ni1 0.5000 0.5000 0.0000 x1  8 Br 2.81
Br1 0.0000 0.5000 0.5000 x2  4 Mn 2.81, 4 Ni 2.81